[1]
## LiSmLuSn (PBE-GGA)

Data for an optimized crystal structure of LiSmLuSn.

abc: 5.2164 5.2164 5.2164
angles: 60.00 60.00 60.00
Closest atoms and distances in Å follow each position.
Element x y z (fractional)
1 Sm 0.5000 0.5000 0.5000  4 Li 3.19, 4 Sn 3.19
2 Sn 0.2500 0.2500 0.2500  4 Lu 3.19, 4 Sm 3.19
3 Lu 0.0000 0.0000 0.0000  4 Sn 3.19, 4 Li 3.19
4 Li 0.7500 0.7500 0.7500  4 Sm 3.19, 4 Lu 3.19

Output
Energy of formation = -0.386 eV/atom
Total DFT energy (no corrections) = -16.70 eV per cell
Space group = F-43m (216)
Total magnetization = 0.0 μB per formula unit

[2]
## Si2BSe6 (PBE-GGA)

Data for an optimized crystal structure of Si2BSe6.

abc: 6.2622 8.9583 8.9583
angles: 94.45 73.43 73.43
Closest atoms and distances in Å follow each position.
Element x y z (fractional)
1 Se 0.7157 0.2547 0.4041  2 Si 2.31-2.32
2 Se 0.2157 0.4041 0.2547  2 Si 2.31-2.32
3 Se 0.5455 0.0338 0.8048  1 B 2.10, 1 Si 2.30
4 B 0.2500 0.2084 0.7916  4 Se 2.06-2.10
5 Si 0.9013 0.3591 0.1944  4 Se 2.30-2.32
6 Se 0.6501 0.5959 0.1708  1 B 2.06
7 Se 0.3499 0.4041 0.8292  1 B 2.06
8 Se 0.0455 0.8048 0.0338  1 B 2.10, 1 Si 2.30
9 Se 0.2843 0.7453 0.5959  2 Si 2.31-2.32
10 Si 0.0987 0.6409 0.8056  4 Se 2.30-2.32
11 B 0.7500 0.7916 0.2084  4 Se 2.06-2.10
12 Se 0.8499 0.8292 0.4041  1 B 2.06
13 Se 0.4545 0.9662 0.1952  1 B 2.10, 1 Si 2.30
14 Si 0.5987 0.8056 0.6409  4 Se 2.30-2.32
15 Se 0.7843 0.5959 0.7453  2 Si 2.31-2.32
16 Si 0.4013 0.1944 0.3591  4 Se 2.30-2.32
17 Se 0.9545 0.1952 0.9662  1 B 2.10, 1 Si 2.30
18 Se 0.1501 0.1708 0.5959  1 B 2.06

Output
Total DFT energy (no corrections) = -80.53 eV per cell
Space group = C2/c (15)
Total magnetization = 0.0 μB per formula unit

[3]
## Mg3Ag2Pd (PBE-GGA)

Data for an optimized crystal structure of Mg3Ag2Pd.

abc: 3.2531 3.2531 10.0485
angles: 90.00 90.00 90.00
Closest atoms and distances in Å follow each position.
Element x y z (fractional)
1 Mg 0.0000 0.0000 0.0000  8 Ag 2.89
2 Mg 0.0000 0.0000 0.3477  4 Pd 2.76, 4 Ag 2.89, 1 Mg 3.06
3 Ag 0.5000 0.5000 0.8258  8 Mg 2.89
4 Ag 0.5000 0.5000 0.1742  8 Mg 2.89
5 Mg 0.0000 0.0000 0.6523  4 Pd 2.76, 4 Ag 2.89, 1 Mg 3.06
6 Pd 0.5000 0.5000 0.5000  8 Mg 2.76

Output
Offset from the most stable computed form = 0 meV per atom
Energy of formation = -0.407 eV/atom
Total DFT energy (no corrections) = -18.12 eV per cell
Space group = P4/mmm (123)
Total magnetization = 0.0 μB per formula unit

[4]
## RbSrBr (PBE-GGA)

Data for an optimized crystal structure of RbSrBr.

abc: 4.4508 4.4508 8.4142
angles: 90.00 90.00 120.00
Closest atoms and distances in Å follow each position.
Element x y z (fractional)
1 Sr 0.6667 0.3333 0.3995  3 Br 3.33
2 Rb 0.0000 0.0000 0.9483  3 Br 3.58
3 Br 0.3333 0.6667 0.6522  3 Sr 3.33, 3 Rb 3.58

Output
Offset from the most stable computed form = 0 meV per atom
Total DFT energy (no corrections) = -7.25 eV per cell
Space group = P3m1 (156)
Total magnetization = 0.1 μB per formula unit

[5]
## Na2AlTe3 (PBE-GGA)

Data for an optimized crystal structure of Na2AlTe3.

abc: 7.2365 7.9190 7.9190
angles: 58.51 80.98 80.98
Closest atoms and distances in Å follow each position.
Element x y z (fractional)
1 Te 0.5159 0.1818 0.1000  1 Al 2.62
2 Te 0.4841 0.8182 0.9000  1 Al 2.62
3 Na 0.6598 0.1664 0.4845  5 Te 3.07-3.41
4 Te 0.0159 0.1000 0.1818  1 Al 2.62
5 Al 0.7500 0.8874 0.1126  3 Te 2.62
6 Te 0.2500 0.4505 0.5495  1 Al 2.62
7 Na 0.1598 0.4845 0.1664  5 Te 3.07-3.41
8 Te 0.7500 0.5495 0.4505  1 Al 2.62
9 Na 0.8402 0.5155 0.8336  5 Te 3.07-3.41
10 Te 0.9841 0.9000 0.8182  1 Al 2.62
11 Na 0.3402 0.8336 0.5155  5 Te 3.07-3.41
12 Al 0.2500 0.1126 0.8874  3 Te 2.62

Output
Total DFT energy (no corrections) = -38.66 eV per cell
Space group = C2/c (15)
Total magnetization = 0.0 μB per formula unit

[6]
## NaCu2BPt (PBE-GGA)

Data for an optimized crystal structure of NaCu2BPt.

abc: 4.1350 4.1350 4.1322
angles: 90.00 90.00 90.00
Closest atoms and distances in Å follow each position.
Element x y z (fractional)
1 Cu 0.0000 0.5000 0.0000  2 B 2.07
2 Na 0.5000 0.5000 0.5000  8 Cu 2.92, 4 Pt 2.92
3 Pt 0.0000 0.0000 0.5000  2 B 2.07
4 Cu 0.5000 0.0000 0.0000  2 B 2.07
5 B 0.0000 0.0000 0.0000  2 Pt 2.07, 4 Cu 2.07

Output
Energy of formation = -0.008 eV/atom
Total DFT energy (no corrections) = -22.27 eV per cell
Space group = P4/mmm (123)
Total magnetization = 0.0 μB per formula unit

[7]
## CeHo2ErS4 (PBE-GGA)

Data for an optimized crystal structure of CeHo2ErS4.

abc: 3.8945 6.7978 6.7846
angles: 109.25 90.00 90.00
Closest atoms and distances in Å follow each position.
Element x y z (fractional)
1 S 0.0000 0.7591 0.2578  3 Ho 2.72-2.78, 1 Er 2.76, 2 Ce 2.81
2 S 0.5000 0.7554 0.7473  3 Ho 2.72-2.77, 2 Er 2.76, 1 Ce 2.81
3 Ho 0.5000 0.0000 0.5000  6 S 2.72
4 S 0.5000 0.2446 0.2527  3 Ho 2.72-2.77, 2 Er 2.76, 1 Ce 2.81
5 S 0.0000 0.2409 0.7422  3 Ho 2.72-2.78, 1 Er 2.76, 2 Ce 2.81
6 Ce 0.5000 0.5000 0.0000  6 S 2.81
7 Er 0.0000 0.0000 0.0000  6 S 2.76
8 Ho 0.0000 0.5000 0.5000  6 S 2.77-2.78

Output
Total DFT energy (no corrections) = -52.08 eV per cell
Space group = P2/m (10)
Total magnetization = 0.7 μB per formula unit

[8]
## KY2Hg (PBE-GGA)

Data for an optimized crystal structure of KY2Hg.

abc: 7.0065 7.0065 5.6068
angles: 66.39 66.39 31.64
Closest atoms and distances in Å follow each position.
Element x y z (fractional)
1 Y 0.0074 0.0074 0.9927  4 Hg 3.40-3.41, 2 K 3.75-3.76
2 Y 0.7959 0.7959 0.7031  2 Hg 3.00
3 Hg 0.4850 0.4850 0.5168  2 Y 3.00
4 K 0.2116 0.2116 0.2874  2 Hg 3.37, 6 Y 3.55-3.76

Output
Energy of formation = 0.171 eV/atom
Total DFT energy (no corrections) = -13.64 eV per cell
Space group = Cm (8)
Total magnetization = 0.1 μB per formula unit

[9]
## TbNd4Tm (PBE-GGA)

Data for an optimized crystal structure of TbNd4Tm.

abc: 3.4858 8.2928 8.2928
angles: 89.94 90.00 90.00
Closest atoms and distances in Å follow each position.
Element x y z (fractional)
1 Tb 0.0000 0.5000 0.5000  6 Nd 3.08-3.31
2 Nd 0.5000 0.2597 0.7404  1 Tm 3.04, 2 Tb 3.31
3 Nd 0.0000 0.2378 0.2379  1 Tb 3.08, 2 Tm 3.29
4 Nd 0.5000 0.7403 0.2596  1 Tm 3.04, 2 Tb 3.31
5 Tm 0.5000 0.0000 0.0000  6 Nd 3.04-3.29
6 Nd 0.0000 0.7622 0.7621  1 Tb 3.08, 2 Tm 3.29

Output
Offset from the most stable computed form = 591 meV per atom
Energy of formation = 0.611 eV/atom
Total DFT energy (no corrections) = -24.51 eV per cell
Space group = Cmmm (65)
Total magnetization = 0.0 μB per formula unit

[10]
## Ru5Rh4 (PBE-GGA)

Data for an optimized crystal structure of Ru5Rh4.

abc: 7.4760 7.4760 5.3420
angles: 90.00 90.00 60.00
Closest atoms and distances in Å follow each position.
Element x y z (fractional)
1 Ru 0.6667 0.6667 0.0000  8 Ru 2.67-2.83, 6 Rh 2.82
2 Rh 0.3356 0.0000 0.2500  5 Ru 2.47-2.67
3 Ru 0.6663 0.3337 0.7500  5 Rh 2.47-2.67
4 Ru 0.3337 0.6663 0.2500  5 Rh 2.47-2.67
5 Ru 0.3337 0.0000 0.7500  5 Rh 2.47-2.67
6 Ru 0.6663 0.0000 0.2500  5 Rh 2.47-2.67
7 Rh 0.0000 0.0000 0.0000  8 Rh 2.67-2.84, 6 Ru 2.83
8 Ru 0.0000 0.6663 0.7500  5 Rh 2.47-2.67
9 Ru 0.6667 0.6667 0.5000  8 Ru 2.67-2.83, 6 Rh 2.82
10 Ru 0.0000 0.3337 0.2500  5 Rh 2.47-2.67
11 Rh 0.6644 0.0000 0.7500  5 Ru 2.47-2.67
12 Rh 0.3356 0.6644 0.7500  5 Ru 2.47-2.67
13 Ru 0.3333 0.3333 0.0000  8 Ru 2.67-2.83, 6 Rh 2.82
14 Rh 0.0000 0.3356 0.7500  5 Ru 2.47-2.67
15 Rh 0.0000 0.0000 0.5000  8 Rh 2.67-2.84, 6 Ru 2.83
16 Rh 0.0000 0.6644 0.2500  5 Ru 2.47-2.67
17 Ru 0.3333 0.3333 0.5000  8 Ru 2.67-2.83, 6 Rh 2.82
18 Rh 0.6644 0.3356 0.2500  5 Ru 2.47-2.67

Output
Offset from the most stable computed form = 231 meV per atom
Energy of formation = 0.279 eV/atom
Total DFT energy (no corrections) = -146.55 eV per cell
Space group = P6_3/mcm (193)
Total magnetization = 0.0 μB per formula unit

[11]
## Sb2PbCl (PBE-GGA)

Data for an optimized crystal structure of Sb2PbCl.

abc: 3.8322 3.8357 8.0565
angles: 90.00 90.00 90.00
Closest atoms and distances in Å follow each position.
Element x y z (fractional)
1 Sb 0.0000 0.0000 0.0178  4 Sb 3.05
2 Sb 0.5000 0.5000 0.1913  4 Sb 3.05
3 Pb 0.5000 0.5000 0.7483  4 Cl 3.18, 4 Sb 3.47
4 Cl 0.0000 0.0000 0.5427  4 Pb 3.18

Output
Offset from the most stable computed form = 5 meV per atom
Total DFT energy (no corrections) = -14.75 eV per cell
Space group = P4mm (99)
Total magnetization = 0.0 μB per formula unit

[12]
## CaH3Ir (PBE-GGA)

Data for an optimized crystal structure of CaH3Ir.

abc: 4.6855 6.3165 3.9337
angles: 71.83 90.00 90.00
Closest atoms and distances in Å follow each position.
Element x y z (fractional)
1 H 0.0025 0.3637 0.0268  1 Ir 1.64
2 Ir 0.2616 0.8068 0.2805  4 H 1.64-1.74
3 Ca 0.7616 0.7208 0.8234  8 H 2.33-2.49
4 Ca 0.2616 0.2515 0.5586  8 H 2.33-2.49
5 H 0.5121 0.9860 0.0126  2 Ir 1.74
6 H 0.5024 0.6087 0.3552  1 Ir 1.64
7 H 0.0120 0.9864 0.3694  2 Ir 1.74
8 H 0.0207 0.6088 0.4036  1 Ir 1.64
9 Ir 0.7617 0.1656 0.1014  4 H 1.64-1.74
10 H 0.5207 0.3636 0.9783  1 Ir 1.64

Output
Total DFT energy (no corrections) = -46.48 eV per cell
Space group = C222_1 (20)
Total magnetization = 0.0 μB per formula unit